(1)
A geometry-optimized Tm2InF structure. Source: Alexandria via LeMat-Bulk, functional PBE.

## Properties
The uncorrected formation energy is -1293 meV/atom.

abc: 4.7709 4.7709 20.4671
angles: 90.00 90.00 120.00
Space group R-3m (No. 166, hexagonal axes)
Symmetry-distinct sites (fractional):
1 Tm 0.0000 0.0000 0.1040 (multiplicity 6)
2 In 0.0000 0.0000 0.5000 (multiplicity 3)
3 F 0.0000 0.0000 0.0000 (multiplicity 3)

***

(2)
A geometry-optimized U2InF11 structure. Source: Alexandria via LeMat-Bulk, functional PBE.

## Properties
The uncorrected formation energy is -3295 meV/atom.

abc: 9.107 10.628 11.943
angles: 90.00 90.00 90.00
Space group Ibam (No. 72)
Symmetry-distinct sites (fractional):
1 U 0.152 0.171 0.000 (multiplicity 8)
2 In 0.000 0.500 0.250 (multiplicity 4)
3 F 0.000 0.000 0.000 (multiplicity 4)
4 F 0.071 0.283 0.128 (multiplicity 16)
5 F 0.166 0.211 0.500 (multiplicity 8)
6 F 0.242 0.434 0.378 (multiplicity 16)